Arrangement one

A relaxed structure of LiCoPO4. Source: Alexandria via LeMat-Bulk, functional PBE with a Hubbard U.

Structure (CIF):
```
data_LiCoPO4
_cell_length_a 11.1003
_cell_length_b 6.1029
_cell_length_c 5.0222
_cell_angle_alpha 90.00
_cell_angle_beta 90.00
_cell_angle_gamma 90.00
_space_group_name_H-M_alt 'P n a 21'
_space_group_IT_number 33
loop_
_space_group_symop_operation_xyz
'x,y,z'
'-x,-y,z+1/2'
'-x+1/2,y+1/2,z+1/2'
'x+1/2,-y+1/2,z'
loop_
_atom_site_label
_atom_site_fract_x
_atom_site_fract_y
_atom_site_fract_z
Li1 0.0668 0.2134 0.0000
Co1 0.1650 0.4670 0.5022
P1 0.0891 0.7300 0.0058
O1 0.0415 0.2411 0.3965
O2 0.0863 0.7139 0.3144
O3 0.1473 0.5162 0.8940
O4 0.1621 0.9373 0.9226
```

Arrangement two

A relaxed structure of LiCoPO4. Source: Alexandria via LeMat-Bulk, functional PBE with a Hubbard U.

Structure (CIF):
```
data_LiCoPO4
_cell_length_a 10.1934
_cell_length_b 5.0468
_cell_length_c 6.7970
_cell_angle_alpha 90.00
_cell_angle_beta 90.00
_cell_angle_gamma 90.00
_space_group_name_H-M_alt 'P n a 21'
_space_group_IT_number 33
loop_
_space_group_symop_operation_xyz
'x,y,z'
'-x,-y,z+1/2'
'-x+1/2,y+1/2,z+1/2'
'x+1/2,-y+1/2,z'
loop_
_atom_site_label
_atom_site_fract_x
_atom_site_fract_y
_atom_site_fract_z
Li1 0.1539 0.1917 0.0000
Co1 0.1551 0.1907 0.4977
P1 0.0957 0.6889 0.7501
O1 0.0529 0.2435 0.2524
O2 0.1184 0.3839 0.7478
O3 0.1602 0.8063 0.5617
O4 0.1612 0.8063 0.9378
```

Structures ranked by computed energy, the most stable listed first: arrangement two, arrangement one.